# 1
## NaCoAg2 (PBE)

Data for NaCoAg2 after structural relaxation.

a b c (Å): 9.924 9.924 9.924
angles (deg): 156.66 156.66 33.24
Fractional positions:
Na: 0.000 0.000 0.000
Na: 0.750 0.250 0.500
Co: 0.250 0.750 0.500
Co: 0.500 0.500 0.000
Ag: 0.140 0.625 0.015
Ag: 0.375 0.390 0.515
Ag: 0.610 0.125 0.985
Ag: 0.875 0.860 0.485

Output
For the energy of formation from the pure elements, the calculation gives 0.69 eV per atom. As for the space-group type: I-42d, No. 122. For the density of states at the Fermi level, the calculation gives 5.00 states/eV/f.u.

***

# 2
## In3CoPb (PBE)

Data for In3CoPb after structural relaxation.

a b c (Å): 5.004 5.004 5.004
angles (deg): 90.00 90.00 90.00
Fractional positions:
In: 0.000 0.000 0.500
In: 0.000 0.500 0.000
In: 0.500 0.000 0.000
Co: 0.000 0.000 0.000
Pb: 0.500 0.500 0.500

Output
For the energy of formation from the pure elements, the calculation gives 0.12 eV per atom. As for the space-group type: Pm-3m, No. 221. For the density of states at the Fermi level, the calculation gives 3.90 states/eV/f.u.

***

- What is the energy of formation from the pure elements in the second record?
  0.12 eV per atom